[1]
A plane-wave DFT calculation with PBE-GGA was carried out for an optimized crystal structure of Ba2TlPb.

Cell lengths 4.2350, 4.2350, 9.7940 Å; angles 90.00, 90.00, 90.00 degrees
Positions (direct):
Ba 0.0000 0.0000 0.0000
Ba 0.5000 0.5000 0.3852
Tl 0.5000 0.5000 0.7749
Pb 0.0000 0.0000 0.6183

Results
The energy of formation comes out at -224 meV/atom. The total energy is -2.704 eV/atom. The space group is P4mm (99).

---

[2]
A plane-wave DFT calculation with PBE-GGA was carried out for an optimized crystal structure of MgBrCl.

Cell lengths 3.3627, 3.3627, 14.1763 Å; angles 90.00, 90.00, 90.00 degrees
Positions (direct):
Mg 0.0000 0.0000 0.0000
Mg 0.5000 0.5000 0.5000
Br 0.0000 0.0000 0.3830
Br 0.5000 0.5000 0.8830
Cl 0.0000 0.0000 0.6044
Cl 0.5000 0.5000 0.1044

Results
The total energy is -2.932 eV/atom. The space group is I4mm (107).

---

[3]
A plane-wave DFT calculation with PBE-GGA was carried out for an optimized crystal structure of PmPaRh.

Cell lengths 11.0781, 4.0757, 6.9323 Å; angles 90.00, 90.00, 90.00 degrees
Positions (direct):
Pm 0.1318 0.2500 0.0803
Pm 0.3682 0.7500 0.5803
Pm 0.6318 0.2500 0.4197
Pm 0.8682 0.7500 0.9197
Pa 0.0845 0.2500 0.5457
Pa 0.4155 0.7500 0.0457
Pa 0.5845 0.2500 0.9543
Pa 0.9155 0.7500 0.4543
Rh 0.1344 0.7500 0.7836
Rh 0.3656 0.2500 0.2836
Rh 0.6344 0.7500 0.7164
Rh 0.8656 0.2500 0.2164

Results
The energy of formation comes out at -308 meV/atom. The total energy is -7.507 eV/atom. The space group is Pnma (62).

---

[4]
A plane-wave DFT calculation with PBE-GGA was carried out for an optimized crystal structure of SrAsPdSe2.

Cell lengths 5.6920, 5.6920, 5.7587 Å; angles 90.00, 90.00, 90.00 degrees
Positions (direct):
Sr 0.0000 0.0000 0.0000
As 0.0000 0.0000 0.5000
Pd 0.5000 0.5000 0.5000
Se 0.0000 0.5000 0.0000
Se 0.5000 0.0000 0.0000

Results
The total energy is -2.889 eV/atom. The space group is P4/mmm (123).

---

[5]
A plane-wave DFT calculation with PBE-GGA was carried out for an optimized crystal structure of RbInSn2I8.

Cell lengths 7.3902, 8.2230, 9.3604 Å; angles 96.85, 99.26, 99.05 degrees
Positions (direct):
Rb 0.0000 0.0000 0.0000
In 0.0000 0.0000 0.5000
Sn 0.4818 0.6045 0.2477
Sn 0.5182 0.3955 0.7523
I 0.1318 0.7111 0.3661
I 0.2412 0.2316 0.3638
I 0.2649 0.5914 0.9516
I 0.3318 0.0461 0.7571
I 0.6682 0.9539 0.2429
I 0.7351 0.4086 0.0484
I 0.7588 0.7684 0.6362
I 0.8682 0.2889 0.6339

Results
The total energy is -2.616 eV/atom. The space group is P-1 (2).

---

[6]
A plane-wave DFT calculation with PBE-GGA was carried out for an optimized crystal structure of Zn3RhC.

Cell lengths 4.0556, 4.0556, 4.0556 Å; angles 90.00, 90.00, 90.00 degrees
Positions (direct):
Zn 0.0000 0.0000 0.5000
Zn 0.0000 0.5000 0.0000
Zn 0.5000 0.0000 0.0000
Rh 0.5000 0.5000 0.5000
C 0.0000 0.0000 0.0000

Results
The energy of formation comes out at 535 meV/atom. The total energy is -3.544 eV/atom. The space group is Pm-3m (221).

---

[7]
A plane-wave DFT calculation with PBE-GGA was carried out for an optimized crystal structure of K2B2Cl7.

Cell lengths 7.3845, 7.3845, 5.9113 Å; angles 94.51, 94.51, 97.39 degrees
Positions (direct):
K 0.2383 0.7617 0.0000
K 0.7617 0.2383 0.0000
B 0.2750 0.2750 0.5575
B 0.7250 0.7250 0.4425
Cl 0.1067 0.3828 0.7205
Cl 0.1715 0.1715 0.2761
Cl 0.3828 0.1067 0.7205
Cl 0.5000 0.5000 0.5000
Cl 0.6172 0.8933 0.2795
Cl 0.8285 0.8285 0.7239
Cl 0.8933 0.6172 0.2795

Results
The total energy is -3.655 eV/atom. The space group is C2/m (12).

---

[8]
A plane-wave DFT calculation with PBE-GGA was carried out for an optimized crystal structure of NdEuHgPd.

Cell lengths 7.4788, 7.4788, 7.4788 Å; angles 90.00, 90.00, 90.00 degrees
Positions (direct):
Nd 0.0000 0.0000 0.0000
Nd 0.0000 0.5000 0.5000
Nd 0.5000 0.0000 0.5000
Nd 0.5000 0.5000 0.0000
Eu 0.0000 0.0000 0.5000
Eu 0.0000 0.5000 0.0000
Eu 0.5000 0.0000 0.0000
Eu 0.5000 0.5000 0.5000
Hg 0.2500 0.2500 0.2500
Hg 0.2500 0.7500 0.7500
Hg 0.7500 0.2500 0.7500
Hg 0.7500 0.7500 0.2500
Pd 0.2500 0.2500 0.7500
Pd 0.2500 0.7500 0.2500
Pd 0.7500 0.2500 0.2500
Pd 0.7500 0.7500 0.7500

Results
The energy of formation comes out at -563 meV/atom. The total energy is -5.698 eV/atom. The space group is F-43m (216).

---

[9]
A plane-wave DFT calculation with PBE-GGA was carried out for an optimized crystal structure of RbAlF4.

Cell lengths 3.7116, 3.7116, 6.3959 Å; angles 90.00, 90.00, 90.00 degrees
Positions (direct):
Rb 0.0000 0.0000 0.0000
Al 0.5000 0.5000 0.5000
F 0.0000 0.5000 0.5000
F 0.5000 0.0000 0.5000
F 0.5000 0.5000 0.2210
F 0.5000 0.5000 0.7790

Results
The total energy is -5.390 eV/atom. The space group is P4/mmm (123).

---

[10]
A plane-wave DFT calculation with PBE-GGA was carried out for an optimized crystal structure of AcTbDy2Tm.

Cell lengths 6.3491, 5.7942, 9.7235 Å; angles 90.00, 108.68, 90.00 degrees
Positions (direct):
Ac 0.0692 0.2500 0.2993
Ac 0.9308 0.7500 0.7007
Tb 0.3368 0.7500 0.4987
Tb 0.6632 0.2500 0.5013
Dy 0.2769 0.2500 0.7072
Dy 0.4632 0.2500 0.0946
Dy 0.5368 0.7500 0.9054
Dy 0.7231 0.7500 0.2928
Tm 0.1347 0.7500 0.0957
Tm 0.8653 0.2500 0.9043

Results
The energy of formation comes out at 45 meV/atom. The total energy is -4.438 eV/atom. The space group is P2_1/m (11).